1.
DFT (PBEsol) results for a relaxed MgCu3 crystal.

a b c (Å): 7.902 7.902 7.902
angles (deg): 153.08 153.08 38.44
Atoms (fractional coordinates):
Mg 0.126 0.126 0.000
Mg 0.874 0.874 0.000
Cu 0.000 0.500 0.500
Cu 0.250 0.750 0.500
Cu 0.377 0.377 0.000
Cu 0.500 0.000 0.500
Cu 0.623 0.623 0.000
Cu 0.750 0.250 0.500

Calculated volume = 101.0 Å³ per cell
Fermi-level density of states = 1.88 states/eV/cell
Symmetry = I4/mmm (139)
Energy = -3.7177 eV/atom
DFT formation energy = -0.151 eV per formula unit



2.
DFT (PBEsol) results for a relaxed Mg2Cu crystal.

a b c (Å): 6.988 6.988 6.988
angles (deg): 24.82 24.82 24.82
Atoms (fractional coordinates):
Mg 0.232 0.232 0.232
Mg 0.768 0.768 0.768
Cu 0.000 0.000 0.000

Calculated volume = 52.9 Å³ per cell
Fermi-level density of states = 0.93 states/eV/cell
Symmetry = R-3m (166)
Energy = -2.5064 eV/atom
DFT formation energy = 0.249 eV per formula unit



3.
DFT (PBEsol) results for a relaxed Mg3Cu crystal.

a b c (Å): 7.199 8.150 5.220
angles (deg): 90.00 90.00 90.00
Atoms (fractional coordinates):
Mg 0.028 0.250 0.106
Mg 0.171 0.059 0.624
Mg 0.171 0.441 0.624
Mg 0.329 0.559 0.124
Mg 0.329 0.941 0.124
Mg 0.472 0.750 0.606
Mg 0.528 0.250 0.394
Mg 0.671 0.059 0.876
Mg 0.671 0.441 0.876
Mg 0.829 0.559 0.376
Mg 0.829 0.941 0.376
Mg 0.972 0.750 0.894
Cu 0.126 0.750 0.423
Cu 0.374 0.250 0.923
Cu 0.626 0.750 0.077
Cu 0.874 0.250 0.577

Calculated volume = 306.3 Å³ per cell
Fermi-level density of states = 5.73 states/eV/cell
Symmetry = Pnma (62)
Energy = -2.4128 eV/atom
DFT formation energy = -0.166 eV per formula unit



4.
DFT (PBEsol) results for a relaxed MgCu crystal.

a b c (Å): 3.057 3.057 6.684
angles (deg): 90.00 90.00 90.00
Atoms (fractional coordinates):
Mg 0.250 0.250 0.173
Mg 0.750 0.750 0.827
Cu 0.250 0.250 0.589
Cu 0.750 0.750 0.411

Calculated volume = 62.5 Å³ per cell
Fermi-level density of states = 1.21 states/eV/cell
Symmetry = P4/nmm (129)
Energy = -3.0531 eV/atom
DFT formation energy = -0.055 eV per formula unit



5.
DFT (PBEsol) results for a relaxed Mg2Cu crystal.

a b c (Å): 5.199 5.199 5.199
angles (deg): 104.46 104.19 120.34
Atoms (fractional coordinates):
Mg 0.168 0.168 0.336
Mg 0.332 0.668 0.000
Mg 0.668 0.332 0.000
Mg 0.832 0.832 0.664
Cu 0.250 0.750 0.500
Cu 0.750 0.250 0.500

Calculated volume = 105.2 Å³ per cell
Fermi-level density of states = 1.82 states/eV/cell
Symmetry = Ibam (72)
Energy = -2.6803 eV/atom
DFT formation energy = -0.272 eV per formula unit



6.
DFT (PBEsol) results for a relaxed Mg2Cu crystal.

a b c (Å): 5.148 5.148 9.439
angles (deg): 97.97 97.97 119.32
Atoms (fractional coordinates):
Mg 0.041 0.959 0.750
Mg 0.291 0.541 0.583
Mg 0.291 0.709 0.250
Mg 0.459 0.709 0.917
Mg 0.541 0.291 0.083
Mg 0.709 0.291 0.750
Mg 0.709 0.459 0.417
Mg 0.959 0.041 0.250
Cu 0.002 0.251 0.003
Cu 0.251 0.002 0.503
Cu 0.749 0.998 0.497
Cu 0.998 0.749 0.997

Calculated volume = 209.7 Å³ per cell
Fermi-level density of states = 3.34 states/eV/cell
Symmetry = C2/c (15)
Energy = -2.6870 eV/atom
DFT formation energy = -0.293 eV per formula unit



7.
DFT (PBEsol) results for a relaxed Mg6Cu7 crystal.

a b c (Å): 9.392 9.392 9.392
angles (deg): 30.79 30.79 30.79
Atoms (fractional coordinates):
Mg 0.052 0.052 0.052
Mg 0.155 0.155 0.155
Mg 0.333 0.333 0.333
Mg 0.667 0.667 0.667
Mg 0.845 0.845 0.845
Mg 0.948 0.948 0.948
Cu 0.090 0.592 0.592
Cu 0.408 0.408 0.910
Cu 0.408 0.910 0.408
Cu 0.500 0.500 0.500
Cu 0.592 0.090 0.592
Cu 0.592 0.592 0.090
Cu 0.910 0.408 0.408

Calculated volume = 192.5 Å³ per cell
Fermi-level density of states = 5.05 states/eV/cell
Symmetry = R-3m (166)
Energy = -3.2259 eV/atom
DFT formation energy = -1.295 eV per formula unit



8.
DFT (PBEsol) results for a relaxed Mg2Cu crystal.

a b c (Å): 8.365 8.365 8.365
angles (deg): 60.00 60.00 60.00
Atoms (fractional coordinates):
Mg 0.000 0.000 0.000
Mg 0.000 0.000 0.500
Mg 0.000 0.500 0.000
Mg 0.183 0.183 0.567
Mg 0.183 0.567 0.183
Mg 0.183 0.567 0.567
Mg 0.433 0.433 0.817
Mg 0.433 0.817 0.433
Mg 0.433 0.817 0.817
Mg 0.500 0.000 0.000
Mg 0.567 0.183 0.183
Mg 0.567 0.183 0.567
Mg 0.567 0.567 0.183
Mg 0.817 0.433 0.433
Mg 0.817 0.433 0.817
Mg 0.817 0.817 0.433
Cu 0.124 0.792 0.792
Cu 0.208 0.208 0.208
Cu 0.208 0.208 0.876
Cu 0.208 0.876 0.208
Cu 0.792 0.124 0.792
Cu 0.792 0.792 0.124
Cu 0.792 0.792 0.792
Cu 0.876 0.208 0.208

Calculated volume = 413.9 Å³ per cell
Fermi-level density of states = 9.34 states/eV/cell
Symmetry = Fd-3m (227)
Energy = -2.6570 eV/atom
DFT formation energy = -0.203 eV per formula unit



9.
DFT (PBEsol) results for a relaxed MgMn3Cu crystal.

a b c (Å): 4.521 4.521 4.521
angles (deg): 90.00 90.00 90.00
Atoms (fractional coordinates):
Mg 0.000 0.000 0.000
Mn 0.000 0.500 0.500
Mn 0.500 0.000 0.500
Mn 0.500 0.500 0.000
Cu 0.500 0.500 0.500

Calculated volume = 92.4 Å³ per cell
Fermi-level density of states = 6.28 states/eV/cell
Symmetry = Pm-3m (221)
Energy = -6.0633 eV/atom
DFT formation energy = 5.018 eV per formula unit



10.
DFT (PBEsol) results for a relaxed Mg2MnCu crystal.

a b c (Å): 5.282 5.282 5.282
angles (deg): 145.14 129.48 62.85
Atoms (fractional coordinates):
Mg 0.000 0.000 0.000
Mg 0.720 0.220 0.500
Mn 0.268 0.768 0.500
Cu 0.480 0.480 0.000

Calculated volume = 64.3 Å³ per cell
Fermi-level density of states = 2.13 states/eV/cell
Symmetry = Imm2 (44)
Energy = -4.1684 eV/atom
DFT formation energy = 0.856 eV per formula unit



11.
DFT (PBEsol) results for a relaxed MgMnCu2 crystal.

a b c (Å): 5.003 5.003 5.003
angles (deg): 145.15 129.94 62.44
Atoms (fractional coordinates):
Mg 0.000 0.000 0.000
Mn 0.274 0.774 0.500
Cu 0.517 0.517 0.000
Cu 0.743 0.243 0.500

Calculated volume = 54.3 Å³ per cell
Fermi-level density of states = 1.98 states/eV/cell
Symmetry = Imm2 (44)
Energy = -4.8495 eV/atom
DFT formation energy = 0.749 eV per formula unit



12.
DFT (PBEsol) results for a relaxed MgMnCu2 crystal.

a b c (Å): 4.133 4.133 3.129
angles (deg): 90.00 90.00 90.00
Atoms (fractional coordinates):
Mg 0.000 0.000 0.000
Mn 0.500 0.500 0.000
Cu 0.000 0.500 0.500
Cu 0.500 0.000 0.500

Calculated volume = 53.4 Å³ per cell
Fermi-level density of states = 2.23 states/eV/cell
Symmetry = P4/mmm (123)
Energy = -4.8851 eV/atom
DFT formation energy = 0.606 eV per formula unit



13.
DFT (PBEsol) results for a relaxed MgMnCu crystal.

a b c (Å): 4.169 4.169 4.169
angles (deg): 60.00 60.00 60.00
Atoms (fractional coordinates):
Mg 0.000 0.000 0.000
Mn 0.500 0.500 0.500
Cu 0.750 0.750 0.750

Calculated volume = 51.2 Å³ per cell
Fermi-level density of states = 3.47 states/eV/cell
Symmetry = F-43m (216)
Energy = -4.7520 eV/atom
DFT formation energy = 1.557 eV per formula unit



14.
DFT (PBEsol) results for a relaxed MgMn3Cu2O8 crystal.

a b c (Å): 8.205 8.205 8.205
angles (deg): 90.00 90.00 90.00
Atoms (fractional coordinates):
Mg 0.125 0.125 0.125
Mg 0.375 0.875 0.625
Mg 0.625 0.375 0.875
Mg 0.875 0.625 0.375
Mn 0.119 0.869 0.875
Mn 0.125 0.619 0.631
Mn 0.131 0.375 0.381
Mn 0.369 0.625 0.881
Mn 0.375 0.381 0.131
Mn 0.381 0.131 0.375
Mn 0.619 0.631 0.125
Mn 0.625 0.881 0.369
Mn 0.631 0.125 0.619
Mn 0.869 0.875 0.119
Mn 0.875 0.119 0.869
Mn 0.881 0.369 0.625
Cu 0.007 0.993 0.493
Cu 0.243 0.757 0.257
Cu 0.257 0.243 0.757
Cu 0.493 0.007 0.993
Cu 0.507 0.507 0.507
Cu 0.743 0.743 0.743
Cu 0.757 0.257 0.243
Cu 0.993 0.493 0.007
O 0.099 0.874 0.107
O 0.107 0.099 0.874
O 0.117 0.383 0.617
O 0.124 0.849 0.643
O 0.126 0.607 0.401
O 0.133 0.633 0.867
O 0.143 0.376 0.151
O 0.151 0.143 0.376
O 0.349 0.857 0.876
O 0.357 0.624 0.651
O 0.367 0.367 0.367
O 0.374 0.393 0.901
O 0.376 0.151 0.143
O 0.383 0.617 0.117
O 0.393 0.901 0.374
O 0.401 0.126 0.607
O 0.599 0.626 0.893
O 0.607 0.401 0.126
O 0.617 0.117 0.383
O 0.624 0.651 0.357
O 0.626 0.893 0.599
O 0.633 0.867 0.133
O 0.643 0.124 0.849
O 0.651 0.357 0.624
O 0.849 0.643 0.124
O 0.857 0.876 0.349
O 0.867 0.133 0.633
O 0.874 0.107 0.099
O 0.876 0.349 0.857
O 0.883 0.883 0.883
O 0.893 0.599 0.626
O 0.901 0.374 0.393

Calculated volume = 552.3 Å³ per cell
Symmetry = P4_332 (212)
Energy = -7.4356 eV/atom
ΔE_f (raw) = -1.60 eV per atom



15.
DFT (PBEsol) results for a relaxed Mg30MnCuO32 crystal.

a b c (Å): 8.436 8.436 8.423
angles (deg): 90.00 90.00 90.00
Atoms (fractional coordinates):
Mg 0.000 0.000 0.000
Mg 0.000 0.248 0.252
Mg 0.000 0.248 0.748
Mg 0.000 0.500 0.000
Mg 0.000 0.500 0.500
Mg 0.000 0.752 0.252
Mg 0.000 0.752 0.748
Mg 0.247 0.247 0.500
Mg 0.247 0.753 0.500
Mg 0.248 0.000 0.252
Mg 0.248 0.000 0.748
Mg 0.249 0.249 0.000
Mg 0.249 0.500 0.250
Mg 0.249 0.500 0.750
Mg 0.249 0.751 0.000
Mg 0.500 0.000 0.000
Mg 0.500 0.000 0.500
Mg 0.500 0.249 0.250
Mg 0.500 0.249 0.750
Mg 0.500 0.500 0.000
Mg 0.500 0.751 0.250
Mg 0.500 0.751 0.750
Mg 0.751 0.249 0.000
Mg 0.751 0.500 0.250
Mg 0.751 0.500 0.750
Mg 0.751 0.751 0.000
Mg 0.752 0.000 0.252
Mg 0.752 0.000 0.748
Mg 0.753 0.247 0.500
Mg 0.753 0.753 0.500
Mn 0.500 0.500 0.500
Cu 0.000 0.000 0.500
O 0.000 0.000 0.242
O 0.000 0.000 0.758
O 0.000 0.252 0.000
O 0.000 0.264 0.500
O 0.000 0.500 0.250
O 0.000 0.500 0.750
O 0.000 0.736 0.500
O 0.000 0.748 0.000
O 0.251 0.251 0.251
O 0.251 0.251 0.749
O 0.251 0.749 0.251
O 0.251 0.749 0.749
O 0.252 0.000 0.000
O 0.253 0.500 0.000
O 0.263 0.500 0.500
O 0.264 0.000 0.500
O 0.500 0.000 0.250
O 0.500 0.000 0.750
O 0.500 0.253 0.000
O 0.500 0.263 0.500
O 0.500 0.500 0.258
O 0.500 0.500 0.742
O 0.500 0.737 0.500
O 0.500 0.747 0.000
O 0.736 0.000 0.500
O 0.737 0.500 0.500
O 0.747 0.500 0.000
O 0.748 0.000 0.000
O 0.749 0.251 0.251
O 0.749 0.251 0.749
O 0.749 0.749 0.251
O 0.749 0.749 0.749

Calculated volume = 599.4 Å³ per cell
Fermi-level density of states = 12.92 states/eV/cell
Symmetry = P4/mmm (123)
Energy = -6.2610 eV/atom
ΔE_f (raw) = -2.61 eV per atom



16.
DFT (PBEsol) results for a relaxed MgMnCuRe2 crystal.

a b c (Å): 4.341 4.341 4.571
angles (deg): 90.00 90.00 90.00
Atoms (fractional coordinates):
Mg 0.000 0.000 0.000
Mn 0.000 0.000 0.500
Cu 0.500 0.500 0.000
Re 0.000 0.500 0.500
Re 0.500 0.000 0.500

Calculated volume = 86.1 Å³ per cell
Fermi-level density of states = 5.65 states/eV/cell
Symmetry = P4/mmm (123)
Energy = -6.9897 eV/atom
DFT formation energy = 7.528 eV per formula unit



17.
DFT (PBEsol) results for a relaxed MgCuMo2 crystal.

a b c (Å): 2.611 4.484 5.139
angles (deg): 90.00 100.19 90.00
Atoms (fractional coordinates):
Mg 0.000 0.000 0.000
Cu 0.000 0.000 0.500
Mo 0.467 0.500 0.745
Mo 0.533 0.500 0.255

Calculated volume = 59.2 Å³ per cell
Fermi-level density of states = 2.05 states/eV/cell
Symmetry = P2/m (10)
Energy = -7.0624 eV/atom
DFT formation energy = 1.338 eV per formula unit



18.
DFT (PBEsol) results for a relaxed MgCuMo2 crystal.

a b c (Å): 4.712 4.712 4.712
angles (deg): 130.54 130.54 72.54
Atoms (fractional coordinates):
Mg 0.000 0.000 0.000
Cu 0.250 0.750 0.500
Mo 0.500 0.500 0.000
Mo 0.750 0.250 0.500

Calculated volume = 59.0 Å³ per cell
Fermi-level density of states = 2.64 states/eV/cell
Symmetry = I-4m2 (119)
Energy = -6.9850 eV/atom
DFT formation energy = 1.647 eV per formula unit



19.
DFT (PBEsol) results for a relaxed MgCu2Mo crystal.

a b c (Å): 2.632 3.727 5.709
angles (deg): 90.00 90.00 90.00
Atoms (fractional coordinates):
Mg 0.000 0.000 0.000
Cu 0.500 0.500 0.267
Cu 0.500 0.500 0.733
Mo 0.000 0.000 0.500

Calculated volume = 56.0 Å³ per cell
Fermi-level density of states = 3.11 states/eV/cell
Symmetry = Pmmm (47)
Energy = -5.3056 eV/atom
DFT formation energy = 0.931 eV per formula unit



20.
DFT (PBEsol) results for a relaxed MgCu2Mo crystal.

a b c (Å): 4.282 4.282 4.282
angles (deg): 60.00 60.00 60.00
Atoms (fractional coordinates):
Mg 0.000 0.000 0.000
Cu 0.250 0.250 0.250
Cu 0.750 0.750 0.750
Mo 0.500 0.500 0.500

Calculated volume = 55.5 Å³ per cell
Fermi-level density of states = 4.12 states/eV/cell
Symmetry = Fm-3m (225)
Energy = -5.1929 eV/atom
DFT formation energy = 1.382 eV per formula unit